[1]
Computed, not measured: a relaxed Ni3Sb crystal at the PBE level of DFT.

**VASP energy**: -5.33 eV/atom
**Excess energy over the best structure of this formula in the dataset**: 0.0415 eV/atom
**SG**: Fm-3m

```
4
Lattice="2.9601 -2.9601 0.0000 -2.9601 0.0000 -2.9601 2.9601 2.9601 0.0000" Properties=species:S:1:pos:R:3 pbc="T T T"
Ni 1.4801 -1.4801 -1.4800
Ni 2.9601 0.0000 0.0000
Ni 1.4801 1.4801 -1.4800
Sb 0.0000 0.0000 0.0000
```



[2]
Computed, not measured: a relaxed AcScCo crystal at the PBE level of DFT.

**VASP energy**: -5.13 eV/atom
**Excess energy over the best structure of this formula in the dataset**: 0.0000 eV/atom
**Energy relative to the elements**: 0.722 eV per atom
**SG**: F-43m

```
3
Lattice="0.0000 3.3360 3.3360 3.3360 0.0000 3.3360 3.3360 3.3360 0.0000" Properties=species:S:1:pos:R:3 pbc="T T T"
Ac 1.6680 1.6680 1.6680
Co 5.0041 5.0041 5.0041
Sc 0.0000 0.0000 0.0000
```



[3]
Computed, not measured: a relaxed MoI2Cl3 crystal at the PBE level of DFT.

**VASP energy**: -3.76 eV/atom
**Excess energy over the best structure of this formula in the dataset**: 0.0000 eV/atom
**SG**: P-1

```
12
Lattice="-2.8844 3.7435 4.3512 -4.0039 -5.4699 -2.1505 6.0703 -3.4857 6.5751" Properties=species:S:1:pos:R:3 pbc="T T T"
Cl -2.5082 -1.0125 3.7828
Cl 1.3411 -1.6518 2.6669
Cl -0.5604 -4.3475 2.5518
Cl -0.2576 -0.8647 6.2240
Cl -2.1590 -3.5604 6.1089
Cl 1.6902 -4.1996 4.9929
I -1.1394 -1.5756 0.1019
I -4.2376 -3.7063 1.4964
I 3.4196 -1.5058 7.2794
I 0.3214 -3.6366 8.6739
Mo -1.9926 0.6937 5.2552
Mo 1.1746 -5.9058 3.5205
```



[4]
Computed, not measured: a relaxed Na4AlSiAg2 crystal at the PBE level of DFT.

**VASP energy**: -2.41 eV/atom
**SG**: P-4m2

```
8
Lattice="-1.8562 -0.3129 4.4079 4.4151 -0.3322 1.8356 0.2632 6.7644 0.5911" Properties=species:S:1:pos:R:3 pbc="T T T"
Ag 2.2746 1.5561 1.0683
Ag -0.7319 4.8857 2.6445
Al 0.0000 0.0000 0.0000
Na 1.2795 -0.3226 3.1217
Na -0.8596 1.6038 2.3578
Na 0.1316 3.3822 0.2955
Na 2.4023 4.8380 1.3551
Si 1.4111 3.0596 3.4173
```



[5]
Computed, not measured: a relaxed SrMg4GaIr2 crystal at the PBE level of DFT.

**VASP energy**: -3.39 eV/atom
**SG**: Amm2

```
8
Lattice="-1.7424 3.9297 -6.3970 -3.7017 -6.6778 -3.0939 -6.7500 -4.6163 -0.9973" Properties=species:S:1:pos:R:3 pbc="T T T"
Ga -2.3303 0.3881 -3.7697
Ir -4.0874 -1.5105 -4.4574
Ir -8.3711 -6.1395 -6.1342
Mg -3.5204 -2.7688 -2.3959
Mg -4.6421 -0.2390 -6.5141
Mg -7.0389 -6.4684 -3.8740
Mg -8.0992 -4.0772 -7.7666
Sr -10.6871 -8.6421 -7.0408
```



[6]
Computed, not measured: a relaxed PmSiAu crystal at the PBE level of DFT.

**VASP energy**: -4.54 eV/atom
**Excess energy over the best structure of this formula in the dataset**: 0.7489 eV/atom
**SG**: F-43m

```
3
Lattice="0.0000 3.4186 3.4186 3.4186 0.0000 3.4186 3.4186 3.4186 0.0000" Properties=species:S:1:pos:R:3 pbc="T T T"
Au 5.1279 5.1279 5.1279
Pm 3.4186 3.4186 3.4186
Si 1.7093 1.7093 1.7093
```



[7]
Computed, not measured: a relaxed ScPtNO crystal at the PBE level of DFT.

**VASP energy**: -7.44 eV/atom
**Excess energy over the best structure of this formula in the dataset**: 0.3920 eV/atom
**SG**: P1

```
8
Lattice="-2.3848 -1.1125 -1.5858 -2.4648 -2.0126 5.1631 -2.8159 5.3541 0.4953" Properties=species:S:1:pos:R:3 pbc="T T T"
N -5.2461 -0.3805 2.2559
N -4.8005 2.0496 -0.1364
O -2.1484 0.1196 0.2102
O -5.3872 2.7664 3.2518
Pt -3.2816 0.0606 1.9703
Pt -3.3880 3.5080 -0.3063
Sc -3.4777 0.6879 -1.1655
Sc -5.7810 1.6254 1.6672
```



[8]
Computed, not measured: a relaxed TmTlCuTe3 crystal at the PBE level of DFT.

**VASP energy**: -4.00 eV/atom
**SG**: Cmcm

```
12
Lattice="-6.9961 3.8951 0.3300 6.0746 -3.0248 -4.2634 -5.4693 -9.7494 -0.8759" Properties=species:S:1:pos:R:3 pbc="T T T"
Cu -1.3883 -2.2350 -2.3402
Cu -5.0025 -6.6441 -2.4690
Te 0.9691 -1.0970 -2.6407
Te 3.7509 -4.9558 -4.1462
Te -1.0950 -4.7764 -2.9712
Te -5.2959 -4.1027 -1.8380
Te -10.1417 -3.9233 -0.6630
Te -7.3599 -7.7820 -2.1686
Tl -5.1203 -0.2592 -1.0287
Tl -1.2705 -8.6199 -3.7806
Tm 0.0000 0.0000 0.0000
Tm -2.7347 -4.8747 -0.4379
```



The lowest VASP energy belongs to which entry?
ScPtNO



Copy entry 4 word for word.
Computed, not measured: a relaxed Na4AlSiAg2 crystal at the PBE level of DFT.

**VASP energy**: -2.41 eV/atom
**SG**: P-4m2

```
8
Lattice="-1.8562 -0.3129 4.4079 4.4151 -0.3322 1.8356 0.2632 6.7644 0.5911" Properties=species:S:1:pos:R:3 pbc="T T T"
Ag 2.2746 1.5561 1.0683
Ag -0.7319 4.8857 2.6445
Al 0.0000 0.0000 0.0000
Na 1.2795 -0.3226 3.1217
Na -0.8596 1.6038 2.3578
Na 0.1316 3.3822 0.2955
Na 2.4023 4.8380 1.3551
Si 1.4111 3.0596 3.4173
```